Record 1
Er3Th5P12 after structural relaxation, computed with PBE.

a = 14.017 Å, b = 14.017 Å, c = 14.017 Å
α = 109.47°, β = 109.47°, γ = 109.47°
Positions (direct):
Er 0.750 0.375 0.125
Er 0.875 0.750 0.125
Er 0.375 0.750 0.625
Er 0.250 0.125 0.375
Er 0.875 0.125 0.250
Er 0.375 0.625 0.250
Er 0.625 0.375 0.750
Er 0.125 0.875 0.750
Er 0.750 0.875 0.625
Er 0.625 0.250 0.375
Er 0.125 0.250 0.875
Er 0.250 0.625 0.875
Th 0.125 0.375 0.250
Th 0.000 0.500 0.000
Th 0.000 0.000 0.000
Th 0.375 0.250 0.125
Th 0.500 0.000 0.500
Th 0.500 0.500 0.000
Th 0.125 0.750 0.375
Th 0.750 0.125 0.875
Th 0.750 0.625 0.375
Th 0.375 0.125 0.750
Th 0.625 0.875 0.250
Th 0.500 0.500 0.500
Th 0.500 0.000 0.000
Th 0.000 0.000 0.500
Th 0.250 0.375 0.625
Th 0.250 0.875 0.125
Th 0.000 0.500 0.500
Th 0.875 0.250 0.625
Th 0.625 0.750 0.875
Th 0.875 0.625 0.750
P 0.748 0.158 0.077
P 0.329 0.577 0.419
P 0.923 0.342 0.252
P 0.577 0.248 0.158
P 0.590 0.748 0.671
P 0.923 0.581 0.171
P 0.329 0.752 0.410
P 0.081 0.910 0.158
P 0.581 0.923 0.671
P 0.748 0.590 0.171
P 0.752 0.423 0.342
P 0.829 0.919 0.077
P 0.158 0.748 0.577
P 0.342 0.419 0.090
P 0.090 0.919 0.342
P 0.410 0.158 0.581
P 0.090 0.171 0.248
P 0.423 0.671 0.081
P 0.829 0.910 0.252
P 0.158 0.410 0.081
P 0.342 0.923 0.752
P 0.581 0.658 0.410
P 0.919 0.829 0.577
P 0.752 0.329 0.910
P 0.419 0.342 0.590
P 0.081 0.171 0.423
P 0.248 0.671 0.090
P 0.171 0.090 0.748
P 0.658 0.077 0.248
P 0.842 0.590 0.919
P 0.577 0.329 0.919
P 0.590 0.842 0.419
P 0.910 0.829 0.752
P 0.910 0.081 0.658
P 0.842 0.252 0.423
P 0.171 0.081 0.923
P 0.658 0.581 0.910
P 0.419 0.077 0.329
P 0.252 0.410 0.829
P 0.248 0.577 0.658
P 0.919 0.090 0.842
P 0.671 0.248 0.590
P 0.423 0.752 0.842
P 0.077 0.419 0.829
P 0.410 0.252 0.329
P 0.077 0.658 0.748
P 0.671 0.423 0.581
P 0.252 0.842 0.923

Formation energy from the elements   -65 kJ per mole of atoms
Total magnetic moment   0.00 μB/cell
DOS at the Fermi energy   11.90 states/eV/f.u.

***

Record 2
Na2SnGeSe5 after structural relaxation, computed with PBE.

a = 3.866 Å, b = 10.029 Å, c = 12.795 Å
α = 90.00°, β = 90.00°, γ = 101.11°
Positions (direct):
Na 0.895 0.790 0.816
Na 0.104 0.209 0.654
Na 0.105 0.210 0.316
Na 0.896 0.791 0.154
Sn 0.763 0.526 0.538
Sn 0.237 0.474 0.038
Ge 0.567 0.135 0.933
Ge 0.433 0.865 0.433
Se 0.360 0.720 0.987
Se 0.689 0.378 0.894
Se 0.512 0.024 0.773
Se 0.278 0.556 0.681
Se 0.955 0.910 0.548
Se 0.640 0.280 0.487
Se 0.311 0.622 0.394
Se 0.488 0.976 0.273
Se 0.722 0.444 0.181
Se 0.045 0.090 0.048

Total magnetic moment   0.00 μB/cell
DOS at the Fermi energy   1.19 states/eV/f.u.
Total DFT energy (no corrections)   -3.767 eV/atom

***

Record 3
Tb2YPu3Te6 after structural relaxation, computed with PBE.

a = 4.090 Å, b = 13.880 Å, c = 12.897 Å
α = 147.62°, β = 99.12°, γ = 90.00°
Site moments in Bohr magnetons follow the coordinates.
Positions (direct):
Tb 0.869 0.083 0.738  0.02
Tb 0.131 0.917 0.262  0.02
Y 0.500 0.000 0.000  0.01
Pu 0.500 0.500 0.000  -4.70
Pu 0.608 0.506 0.216  5.08
Pu 0.392 0.494 0.784  5.08
Te 0.184 0.782 0.367  -0.01
Te 0.831 0.801 0.661  -0.05
Te 0.816 0.218 0.633  -0.01
Te 0.075 0.297 0.150  -0.08
Te 0.925 0.703 0.850  -0.08
Te 0.169 0.199 0.339  -0.05

Total magnetic moment   5.28 μB/cell
DOS at the Fermi energy   22.32 states/eV/f.u.
Total DFT energy (no corrections)   -7.345 eV/atom